(1)
DFT (PBE) results for Li2Te after structural relaxation.

Properties
space-group type: P6_3/mmc
uncorrected formation energy: -0.936 eV per atom
crystal system: hexagonal
raw total energy: -19.56 eV for the cell shown

a b c (Å): 4.649 4.649 6.655
angles (deg): 90.00 90.00 120.00
Fractional positions:
Li: 0.000 0.000 0.500
Li: 0.000 0.000 0.000
Li: 0.667 0.333 0.750
Li: 0.333 0.667 0.250
Te: 0.333 0.667 0.750
Te: 0.667 0.333 0.250

(2)
DFT (PBE) results for Li2Te after structural relaxation.

Properties
space-group type: P-3m1
uncorrected formation energy: -0.848 eV per atom
crystal system: trigonal
raw total energy: -9.51 eV for the cell shown

a b c (Å): 4.525 4.525 4.945
angles (deg): 90.00 90.00 120.00
Fractional positions:
Li: 0.333 0.667 0.166
Li: 0.667 0.333 0.834
Te: 0.000 0.000 0.000

(3)
DFT (PBE) results for Li3Te after structural relaxation.

Properties
space-group type: Fm-3m
uncorrected formation energy: -0.534 eV per atom
crystal system: cubic
raw total energy: -11.02 eV for the cell shown

a b c (Å): 4.838 4.838 4.838
angles (deg): 60.00 60.00 60.00
Fractional positions:
Li: 0.000 0.000 0.000
Li: 0.500 0.500 0.500
Li: 0.250 0.250 0.250
Te: 0.750 0.750 0.750

(4)
DFT (PBE) results for Li6Te after structural relaxation.

Properties
space-group type: Im-3m
uncorrected formation energy: 0.390 eV per atom
crystal system: cubic
raw total energy: -11.89 eV for the cell shown

a b c (Å): 6.074 6.074 6.074
angles (deg): 109.47 109.47 109.47
Fractional positions:
Te: 0.000 0.000 0.000
Li: 0.750 0.250 0.500
Li: 0.500 0.750 0.250
Li: 0.250 0.750 0.500
Li: 0.500 0.250 0.750
Li: 0.750 0.500 0.250
Li: 0.250 0.500 0.750

(5)
DFT (PBE) results for LiTe3 after structural relaxation.

Properties
space-group type: P-6m2
uncorrected formation energy: -0.126 eV per atom
crystal system: hexagonal
raw total energy: -11.84 eV for the cell shown

a b c (Å): 4.096 4.096 7.760
angles (deg): 90.00 90.00 120.00
Fractional positions:
Te: 0.667 0.333 0.779
Te: 0.000 0.000 0.500
Te: 0.667 0.333 0.221
Li: 0.000 0.000 0.000

(6)
DFT (PBE) results for Li3Te after structural relaxation.

Properties
space-group type: Pm-3n
uncorrected formation energy: -0.555 eV per atom
crystal system: cubic
raw total energy: -22.21 eV for the cell shown

a b c (Å): 5.335 5.335 5.335
angles (deg): 90.00 90.00 90.00
Fractional positions:
Li: 0.500 0.000 0.750
Li: 0.000 0.750 0.500
Li: 0.000 0.250 0.500
Li: 0.500 0.000 0.250
Li: 0.250 0.500 0.000
Li: 0.750 0.500 0.000
Te: 0.000 0.000 0.000
Te: 0.500 0.500 0.500

(7)
DFT (PBE) results for Li2Te after structural relaxation.

Properties
space-group type: Fm-3m
uncorrected formation energy: -1.034 eV per atom
crystal system: cubic
raw total energy: -10.07 eV for the cell shown

a b c (Å): 4.614 4.614 4.614
angles (deg): 60.00 60.00 60.00
Fractional positions:
Li: 0.750 0.750 0.750
Li: 0.250 0.250 0.250
Te: 0.000 0.000 0.000

(8)
DFT (PBE) results for LiTe5 after structural relaxation.

Properties
space-group type: Cm
uncorrected formation energy: -0.105 eV per atom
crystal system: monoclinic
raw total energy: -18.25 eV for the cell shown

a b c (Å): 6.345 6.345 8.977
angles (deg): 72.67 72.67 36.57
Fractional positions:
Te: 0.926 0.926 0.372
Te: 0.304 0.304 0.075
Te: 0.607 0.607 0.231
Te: 0.376 0.376 0.740
Te: 0.603 0.603 0.738
Li: 0.019 0.019 0.011

Density of states at the Fermi level in states/eV/f.u., matching the order above: 0.000, 0.000, 2.292, 3.531, 2.297, 1.912, 0.000, 3.090